[1]
# KAlTe3

Crystalline KAlTe3 at its relaxed geometry (PBE, Alexandria).

Cell lengths 5.513, 5.513, 5.513 Å; angles 90.00, 90.00, 90.00 degrees
Atoms (fractional coordinates):
K 0.000 0.000 0.000
Al 0.500 0.500 0.500
Te 0.000 0.500 0.500
Te 0.500 0.000 0.500
Te 0.500 0.500 0.000

Relative energy among the computed polymorphs   0.314 eV/atom
Formation energy (no corrections)   -136 kJ/mol of formula units

[2]
# FeSnTe2N

Crystalline FeSnTe2N at its relaxed geometry (PBE, Alexandria).

Cell lengths 5.842, 5.842, 3.881 Å; angles 90.00, 90.00, 90.00 degrees
Atoms (fractional coordinates):
Fe 0.000 0.000 0.000
Sn 0.500 0.500 0.500
Te 0.000 0.500 0.500
Te 0.500 0.000 0.500
N 0.500 0.500 0.000

Relative energy among the computed polymorphs   1.003 eV/atom
Formation energy (no corrections)   570 kJ/mol of formula units

[3]
# TlIn4Hg8

Crystalline TlIn4Hg8 at its relaxed geometry (PBE, Alexandria).

Cell lengths 8.295, 8.295, 8.295 Å; angles 60.00, 60.00, 60.00 degrees
Atoms (fractional coordinates):
Tl 0.000 0.000 0.000
In 0.199 0.600 0.600
In 0.600 0.199 0.600
In 0.600 0.600 0.199
In 0.600 0.600 0.600
Hg 0.344 0.344 0.344
Hg 0.344 0.344 0.967
Hg 0.344 0.967 0.344
Hg 0.436 0.855 0.855
Hg 0.855 0.436 0.855
Hg 0.855 0.855 0.436
Hg 0.855 0.855 0.855
Hg 0.967 0.344 0.344

Formation energy   0.0951 eV per atom
Relative energy among the computed polymorphs   0.067 eV/atom

[4]
# MnCdCuW2

Crystalline MnCdCuW2 at its relaxed geometry (PBE, Alexandria).

Cell lengths 4.571, 4.571, 4.458 Å; angles 90.00, 90.00, 90.00 degrees
Atoms (fractional coordinates):
Mn 0.000 0.000 0.000
Cd 0.500 0.500 0.000
Cu 0.000 0.000 0.500
W 0.000 0.500 0.500
W 0.500 0.000 0.500

Formation energy   1.5566 eV per atom

[5]
# V4Mo2P

Crystalline V4Mo2P at its relaxed geometry (PBE, Alexandria).

Cell lengths 4.266, 4.266, 12.475 Å; angles 90.00, 90.00, 90.00 degrees
Atoms (fractional coordinates):
V 0.000 0.000 0.185
V 0.000 0.000 0.815
V 0.000 0.500 0.000
V 0.000 0.500 0.500
V 0.500 0.000 0.000
V 0.500 0.000 0.500
V 0.500 0.500 0.315
V 0.500 0.500 0.685
Mo 0.000 0.000 0.370
Mo 0.000 0.000 0.630
Mo 0.500 0.500 0.130
Mo 0.500 0.500 0.870
P 0.000 0.000 0.000
P 0.500 0.500 0.500

Formation energy   0.6103 eV per atom

[6]
# ZnPbAu3

Crystalline ZnPbAu3 at its relaxed geometry (PBE, Alexandria).

Cell lengths 5.377, 5.377, 5.377 Å; angles 90.00, 90.00, 90.00 degrees
Atoms (fractional coordinates):
Zn 0.000 0.000 0.000
Pb 0.500 0.500 0.500
Au 0.000 0.500 0.500
Au 0.500 0.000 0.500
Au 0.500 0.500 0.000

Formation energy   0.6846 eV per atom
Relative energy among the computed polymorphs   0.793 eV/atom

[7]
# La4NdAl

Crystalline La4NdAl at its relaxed geometry (PBE, Alexandria).

Cell lengths 3.753, 3.753, 14.202 Å; angles 90.00, 90.00, 90.00 degrees
Atoms (fractional coordinates):
La 0.000 0.000 0.133
La 0.000 0.000 0.867
La 0.500 0.500 0.318
La 0.500 0.500 0.682
Nd 0.000 0.000 0.500
Al 0.500 0.500 0.000

Formation energy   -0.1008 eV per atom
Relative energy among the computed polymorphs   0.000 eV/atom

[8]
# La2Sn2Hg

Crystalline La2Sn2Hg at its relaxed geometry (PBE, Alexandria).

Cell lengths 6.475, 6.475, 11.438 Å; angles 113.66, 113.66, 43.33 degrees
Atoms (fractional coordinates):
La 0.001 0.001 0.327
La 0.181 0.181 0.107
La 0.819 0.819 0.893
La 0.999 0.999 0.673
Sn 0.356 0.356 0.431
Sn 0.454 0.454 0.104
Sn 0.546 0.546 0.896
Sn 0.644 0.644 0.569
Hg 0.297 0.297 0.665
Hg 0.703 0.703 0.335

Formation energy   -0.6753 eV per atom
Relative energy among the computed polymorphs   0.015 eV/atom

no.,total moment (μB/f.u.),D(E_F) (states/eV per cell)
1,0.00,4.27
2,4.27,5.82
3,0.00,7.12
4,2.09,4.51
5,0.00,15.20
6,0.00,2.67
7,0.00,9.31
8,0.00,7.18